The following is a DFT calculation (PBE-GGA) of a relaxed structure of Dy3CuSe6.

a b c (Å): 6.954 8.594 8.594
angles (deg): 97.79 90.00 90.00
Element x y z (fractional)
Dy1 0.481 0.918 0.721
Dy2 0.981 0.721 0.918
Dy3 0.384 0.396 0.604
Dy4 0.884 0.604 0.396
Dy5 0.981 0.082 0.279
Dy6 0.481 0.279 0.082
Cu1 0.025 0.207 0.793
Cu2 0.525 0.793 0.207
Se1 0.184 0.696 0.625
Se2 0.684 0.625 0.696
Se3 0.195 0.435 0.908
Se4 0.695 0.908 0.435
Se5 0.181 0.037 0.963
Se6 0.675 0.216 0.784
Se7 0.175 0.784 0.216
Se8 0.681 0.963 0.037
Se9 0.195 0.092 0.565
Se10 0.695 0.565 0.092
Se11 0.184 0.375 0.304
Se12 0.684 0.304 0.375

Values from the calculation:
Symmetry: No. 36
Energy relative to the elements, uncorrected (eV/f.u.): -13.39
Energy relative to the lowest polymorph listed for this composition (meV per atom): 98